# Sc2Al6Sn, optimized geometry, DFT PBE-GGA
data_Sc2Al6Sn
_symmetry_space_group_name_H-M 'C 1 2/m 1'
_symmetry_Int_Tables_number 12
_symmetry_space_group_name_Hall '-C 2y'
_cell_length_a 13.515
_cell_length_b 4.102
_cell_length_c 6.570
_cell_angle_alpha 90.00
_cell_angle_beta 111.65
_cell_angle_gamma 90.00
loop_
_atom_site_label
_atom_site_type_symbol
_atom_site_fract_x
_atom_site_fract_y
_atom_site_fract_z
Sc1 Sc 0.056 0.000 0.327
Al1 Al 0.116 0.500 0.671
Al2 Al 0.175 0.000 0.996
Al3 Al 0.223 0.500 0.358
Sn1 Sn 0.000 0.500 0.000
# crystal system = monoclinic
# volume = 169 Å³/f.u.
# VASP energy = -82.3 eV per cell

=====

# ScAl3Sn, optimized geometry, DFT PBE-GGA
data_ScAl3Sn
_symmetry_space_group_name_H-M 'P m -3 m'
_symmetry_Int_Tables_number 221
_symmetry_space_group_name_Hall '-P 4 2 3'
_cell_length_a 5.232
_cell_length_b 5.232
_cell_length_c 5.232
_cell_angle_alpha 90.00
_cell_angle_beta 90.00
_cell_angle_gamma 90.00
loop_
_atom_site_label
_atom_site_type_symbol
_atom_site_fract_x
_atom_site_fract_y
_atom_site_fract_z
Sc1 Sc 0.000 0.000 0.000
Al1 Al 0.000 0.000 0.500
Sn1 Sn 0.500 0.500 0.500
# crystal system = cubic
# energy above the lowest structure with this stoichiometry = 0.012 eV per atom
# volume = 143 Å³/f.u.
# VASP energy = -17.4 eV per cell

=====

# Sc3AlSn, optimized geometry, DFT PBE-GGA
data_Sc3AlSn
_symmetry_space_group_name_H-M 'P m -3 m'
_symmetry_Int_Tables_number 221
_symmetry_space_group_name_Hall '-P 4 2 3'
_cell_length_a 5.074
_cell_length_b 5.074
_cell_length_c 5.074
_cell_angle_alpha 90.00
_cell_angle_beta 90.00
_cell_angle_gamma 90.00
loop_
_atom_site_label
_atom_site_type_symbol
_atom_site_fract_x
_atom_site_fract_y
_atom_site_fract_z
Sc1 Sc 0.000 0.000 0.500
Al1 Al 0.000 0.000 0.000
Sn1 Sn 0.500 0.500 0.500
# crystal system = cubic
# energy above the lowest structure with this stoichiometry = 0.231 eV per atom
# volume = 131 Å³/f.u.
# VASP energy = -26.7 eV per cell

=====

# ScAl2Sn2, optimized geometry, DFT PBE-GGA
data_ScAl2Sn2
_symmetry_space_group_name_H-M 'P 4/m b m'
_symmetry_Int_Tables_number 127
_symmetry_space_group_name_Hall '-P 4 2ab'
_cell_length_a 7.537
_cell_length_b 7.537
_cell_length_c 3.868
_cell_angle_alpha 90.00
_cell_angle_beta 90.00
_cell_angle_gamma 90.00
loop_
_atom_site_label
_atom_site_type_symbol
_atom_site_fract_x
_atom_site_fract_y
_atom_site_fract_z
Sc1 Sc 0.000 0.000 0.000
Al1 Al 0.125 0.375 0.000
Sn1 Sn 0.172 0.672 0.500
# crystal system = tetragonal
# energy above the lowest structure with this stoichiometry = 0.000 eV per atom
# volume = 110 Å³/f.u.
# VASP energy = -44.6 eV per cell

=====

# Sc2AlSn2, optimized geometry, DFT PBE-GGA
data_Sc2AlSn2
_symmetry_space_group_name_H-M 'I 4/m m m'
_symmetry_Int_Tables_number 139
_symmetry_space_group_name_Hall '-I 4 2'
_cell_length_a 4.063
_cell_length_b 4.063
_cell_length_c 15.196
_cell_angle_alpha 90.00
_cell_angle_beta 90.00
_cell_angle_gamma 90.00
loop_
_atom_site_label
_atom_site_type_symbol
_atom_site_fract_x
_atom_site_fract_y
_atom_site_fract_z
Sc1 Sc 0.000 0.000 0.099
Al1 Al 0.000 0.000 0.500
Sn1 Sn 0.000 0.500 0.250
# crystal system = tetragonal
# energy above the lowest structure with this stoichiometry = 0.352 eV per atom
# volume = 125 Å³/f.u.
# VASP energy = -49.3 eV per cell

=====

# ScAl3Sn, optimized geometry, DFT PBE-GGA
data_ScAl3Sn
_symmetry_space_group_name_H-M 'P m -3 m'
_symmetry_Int_Tables_number 221
_symmetry_space_group_name_Hall '-P 4 2 3'
_cell_length_a 5.180
_cell_length_b 5.180
_cell_length_c 5.180
_cell_angle_alpha 90.00
_cell_angle_beta 90.00
_cell_angle_gamma 90.00
loop_
_atom_site_label
_atom_site_type_symbol
_atom_site_fract_x
_atom_site_fract_y
_atom_site_fract_z
Sc1 Sc 0.000 0.000 0.000
Al1 Al 0.000 0.500 0.500
Sn1 Sn 0.500 0.500 0.500
# crystal system = cubic
# energy above the lowest structure with this stoichiometry = 0.000 eV per atom
# volume = 139 Å³/f.u.
# VASP energy = -17.5 eV per cell

=====

# ScAlTcSn, optimized geometry, DFT PBE-GGA
data_ScAlTcSn
_symmetry_space_group_name_H-M 'F -4 3 m'
_symmetry_Int_Tables_number 216
_symmetry_space_group_name_Hall 'F -4 2 3'
_cell_length_a 6.555
_cell_length_b 6.555
_cell_length_c 6.555
_cell_angle_alpha 90.00
_cell_angle_beta 90.00
_cell_angle_gamma 90.00
loop_
_atom_site_label
_atom_site_type_symbol
_atom_site_fract_x
_atom_site_fract_y
_atom_site_fract_z
Sc1 Sc 0.000 0.000 0.000
Al1 Al 0.250 0.250 0.250
Tc1 Tc 0.000 0.000 0.500
Sn1 Sn 0.250 0.250 0.750
# crystal system = cubic
# volume = 70 Å³/f.u.
# VASP energy = -102.0 eV per cell

=====

# ScAlTcSn2, optimized geometry, DFT PBE-GGA
data_ScAlTcSn2
_symmetry_space_group_name_H-M 'P 4/m m m'
_symmetry_Int_Tables_number 123
_symmetry_space_group_name_Hall '-P 4 2'
_cell_length_a 5.180
_cell_length_b 5.180
_cell_length_c 4.930
_cell_angle_alpha 90.00
_cell_angle_beta 90.00
_cell_angle_gamma 90.00
loop_
_atom_site_label
_atom_site_type_symbol
_atom_site_fract_x
_atom_site_fract_y
_atom_site_fract_z
Sc1 Sc 0.000 0.000 0.000
Al1 Al 0.500 0.500 0.000
Tc1 Tc 0.000 0.000 0.500
Sn1 Sn 0.000 0.500 0.500
# crystal system = tetragonal
# volume = 132 Å³/f.u.
# VASP energy = -27.1 eV per cell

=====

# ScAlSnW2, optimized geometry, DFT PBE-GGA
data_ScAlSnW2
_symmetry_space_group_name_H-M 'P 4/m m m'
_symmetry_Int_Tables_number 123
_symmetry_space_group_name_Hall '-P 4 2'
_cell_length_a 4.658
_cell_length_b 4.658
_cell_length_c 4.919
_cell_angle_alpha 90.00
_cell_angle_beta 90.00
_cell_angle_gamma 90.00
loop_
_atom_site_label
_atom_site_type_symbol
_atom_site_fract_x
_atom_site_fract_y
_atom_site_fract_z
Sc1 Sc 0.000 0.000 0.000
Al1 Al 0.500 0.500 0.500
Sn1 Sn 0.500 0.500 0.000
W1 W 0.000 0.500 0.500
# crystal system = tetragonal
# volume = 107 Å³/f.u.
# VASP energy = -33.5 eV per cell

=====

# ScAlZnSn, optimized geometry, DFT PBE-GGA
data_ScAlZnSn
_symmetry_space_group_name_H-M 'P m m m'
_symmetry_Int_Tables_number 47
_symmetry_space_group_name_Hall '-P 2 2'
_cell_length_a 4.179
_cell_length_b 4.244
_cell_length_c 4.294
_cell_angle_alpha 90.00
_cell_angle_beta 90.00
_cell_angle_gamma 90.00
loop_
_atom_site_label
_atom_site_type_symbol
_atom_site_fract_x
_atom_site_fract_y
_atom_site_fract_z
Sc1 Sc 0.000 0.000 0.000
Al1 Al 0.500 0.500 0.000
Zn1 Zn 0.000 0.500 0.500
Sn1 Sn 0.500 0.000 0.500
# crystal system = orthorhombic
# volume = 76 Å³/f.u.
# VASP energy = -16.8 eV per cell

=====

# SrScAl, optimized geometry, DFT PBE-GGA
data_SrScAl
_symmetry_space_group_name_H-M 'A m m 2'
_symmetry_Int_Tables_number 38
_symmetry_space_group_name_Hall 'A 2 -2'
_cell_length_a 4.853
_cell_length_b 11.952
_cell_length_c 6.225
_cell_angle_alpha 90.00
_cell_angle_beta 90.00
_cell_angle_gamma 90.00
loop_
_atom_site_label
_atom_site_type_symbol
_atom_site_fract_x
_atom_site_fract_y
_atom_site_fract_z
Sr1 Sr 0.000 0.000 0.000
Sr2 Sr 0.500 0.000 0.483
Sc1 Sc 0.000 0.212 0.576
Al1 Al 0.500 0.224 0.837
# crystal system = orthorhombic
# energy above the lowest structure with this stoichiometry = 0.106 eV per atom
# volume = 90 Å³/f.u.
# VASP energy = -47.8 eV per cell

=====

# SrScAl, optimized geometry, DFT PBE-GGA
data_SrScAl
_symmetry_space_group_name_H-M 'P m m a'
_symmetry_Int_Tables_number 51
_symmetry_space_group_name_Hall '-P 2a 2a'
_cell_length_a 6.073
_cell_length_b 3.256
_cell_length_c 8.280
_cell_angle_alpha 90.00
_cell_angle_beta 90.00
_cell_angle_gamma 90.00
loop_
_atom_site_label
_atom_site_type_symbol
_atom_site_fract_x
_atom_site_fract_y
_atom_site_fract_z
Sr1 Sr 0.250 0.000 0.122
Sc1 Sc 0.000 0.000 0.500
Al1 Al 0.250 0.500 0.750
# crystal system = orthorhombic
# energy above the lowest structure with this stoichiometry = 0.137 eV per atom
# volume = 82 Å³/f.u.
# VASP energy = -23.7 eV per cell

=====

# Sr2ScAl2, optimized geometry, DFT PBE-GGA
data_Sr2ScAl2
_symmetry_space_group_name_H-M 'I 4/m m m'
_symmetry_Int_Tables_number 139
_symmetry_space_group_name_Hall '-I 4 2'
_cell_length_a 3.796
_cell_length_b 3.796
_cell_length_c 22.746
_cell_angle_alpha 90.00
_cell_angle_beta 90.00
_cell_angle_gamma 90.00
loop_
_atom_site_label
_atom_site_type_symbol
_atom_site_fract_x
_atom_site_fract_y
_atom_site_fract_z
Sr1 Sr 0.000 0.000 0.120
Sc1 Sc 0.000 0.000 0.500
Al1 Al 0.000 0.500 0.250
# crystal system = tetragonal
# energy above the lowest structure with this stoichiometry = 0.278 eV per atom
# volume = 164 Å³/f.u.
# VASP energy = -31.7 eV per cell

=====

# SrScAl, optimized geometry, DFT PBE-GGA
data_SrScAl
_symmetry_space_group_name_H-M 'P 63/m m c'
_symmetry_Int_Tables_number 194
_symmetry_space_group_name_Hall '-P 6c 2c'
_cell_length_a 5.4981
_cell_length_b 5.4981
_cell_length_c 10.8584
_cell_angle_alpha 90.00
_cell_angle_beta 90.00
_cell_angle_gamma 120.00
loop_
_atom_site_label
_atom_site_type_symbol
_atom_site_fract_x
_atom_site_fract_y
_atom_site_fract_z
Sr1 Sr 0.3333 0.6667 0.2500
Sc1 Sc 0.0000 0.0000 0.0000
Al1 Al 0.0000 0.0000 0.2500
# crystal system = hexagonal
# energy above the lowest structure with this stoichiometry = 0.956 eV per atom
# volume = 142 Å³/f.u.
# VASP energy = -18.8 eV per cell